VASP calculation (GGA-PBE) on crystalline Mn2AlCo at its relaxed geometry.

The structure belongs to space group F-43m (No. 216); the cell edges are 5.7384, 5.7384 and 5.7384 Å and the angles 90.00°, 90.00° and 90.00°. The distinct sites, in fractional coordinates, are Mn at (0.0000, 0.0000, 0.0000), Mn at (0.2500, 0.2500, 0.2500), Al at (0.0000, 0.0000, 0.5000) and Co at (0.2500, 0.2500, 0.7500).

The raw total energy comes out at -7.56 eV/atom. The value obtained for the calculated formation energy is -266 meV per atom. For the energy above the most stable polymorph in this dataset, the calculation gives 0.00 kcal/mol of atoms.